[1]
Below is a relaxed structure of TlAu2, with properties calculated at the PBE level.

Summary:
Its offset from the most stable computed form is 1.6 kJ per mole of atoms. The total energy is -35.459 eV for the cell shown. The total moment comes out at 0.00 μB per atom.

The structure in CIF format:
```
data_TlAu2
_chemical_formula_sum 'Tl4 Au8'
_symmetry_space_group_name_H-M 'I 4/m c m'
_symmetry_Int_Tables_number 140
_symmetry_space_group_name_Hall '-I 4 2c'
_cell_length_a 5.519
_cell_length_b 5.519
_cell_length_c 9.399
_cell_angle_alpha 90.00
_cell_angle_beta 90.00
_cell_angle_gamma 90.00
loop_
_atom_site_label
_atom_site_type_symbol
_atom_site_fract_x
_atom_site_fract_y
_atom_site_fract_z
_atom_site_occupancy
Tl1 Tl 0.000 0.000 0.250 1
Au1 Au 0.179 0.321 0.000 1
```

[2]
Below is a relaxed structure of HgTeCl2, with properties calculated at the PBE level.

Summary:
Its offset from the most stable computed form is 22.3 kJ per mole of atoms. The total energy is -15.063 eV for the cell shown. The total moment comes out at 0.00 μB per atom. The value obtained for the uncorrected formation energy is -0.10 eV per atom.

The structure in CIF format:
```
data_HgTeCl2
_chemical_formula_sum 'Hg2 Te2 Cl4'
_symmetry_space_group_name_H-M 'I m m 2'
_symmetry_Int_Tables_number 44
_cell_length_a 3.739
_cell_length_b 4.388
_cell_length_c 14.119
_cell_angle_alpha 90.00
_cell_angle_beta 90.00
_cell_angle_gamma 90.00
loop_
_symmetry_equiv_pos_as_xyz
'x,y,z'
'-x,-y,z'
'-x,y,z'
'x,-y,z'
'x+1/2,y+1/2,z+1/2'
'-x+1/2,-y+1/2,z+1/2'
'-x+1/2,y+1/2,z+1/2'
'x+1/2,-y+1/2,z+1/2'
loop_
_atom_site_label
_atom_site_type_symbol
_atom_site_fract_x
_atom_site_fract_y
_atom_site_fract_z
_atom_site_occupancy
Hg1 Hg 0.000 0.000 0.000 1
Te1 Te 0.000 0.500 0.665 1
Cl1 Cl 0.000 0.000 0.433 1
Cl2 Cl 0.000 0.500 0.194 1
```

[3]
Below is a relaxed structure of Pm5Nd7, with properties calculated at the PBE level.

Summary:
Its offset from the most stable computed form is 0.0 kJ per mole of atoms. The total energy is -114.129 eV for the cell shown. The total moment comes out at 0.00 μB per atom.

The structure in CIF format:
```
data_Pm5Nd7
_chemical_formula_sum 'Pm10 Nd14'
_symmetry_space_group_name_H-M 'C 1 2/m 1'
_symmetry_Int_Tables_number 12
_cell_length_a 19.150
_cell_length_b 3.684
_cell_length_c 13.492
_cell_angle_alpha 90.00
_cell_angle_beta 118.26
_cell_angle_gamma 90.00
loop_
_symmetry_equiv_pos_as_xyz
'x,y,z'
'-x,-y,-z'
'-x,y,-z'
'x,-y,z'
'x+1/2,y+1/2,z'
'-x+1/2,-y+1/2,-z'
'-x+1/2,y+1/2,-z'
'x+1/2,-y+1/2,z'
loop_
_atom_site_label
_atom_site_type_symbol
_atom_site_fract_x
_atom_site_fract_y
_atom_site_fract_z
_atom_site_occupancy
Pm1 Pm 0.000 0.000 0.000 1
Pm2 Pm 0.167 0.000 0.501 1
Pm3 Pm 0.194 0.500 0.750 1
Nd1 Nd 0.000 0.500 0.500 1
Nd2 Nd 0.028 0.000 0.750 1
Nd3 Nd 0.139 0.500 0.250 1
Nd4 Nd 0.167 0.500 0.001 1
```

[4]
Below is a relaxed structure of TaIrAu, with properties calculated at the PBE level.

Summary:
Its offset from the most stable computed form is 20.1 kJ per mole of atoms. The total energy is -24.342 eV for the cell shown. The total moment comes out at 0.00 μB per atom.

The structure in CIF format:
```
data_TaIrAu
_chemical_formula_sum 'Ta1 Ir1 Au1'
_symmetry_space_group_name_H-M 'P 3 m 1'
_symmetry_Int_Tables_number 156
_cell_length_a 4.5024
_cell_length_b 4.5024
_cell_length_c 2.8900
_cell_angle_alpha 90.00
_cell_angle_beta 90.00
_cell_angle_gamma 120.00
loop_
_symmetry_equiv_pos_as_xyz
'x,y,z'
'-y,x-y,z'
'-x+y,-x,z'
'-y,-x,z'
'-x+y,y,z'
'x,x-y,z'
loop_
_atom_site_label
_atom_site_type_symbol
_atom_site_fract_x
_atom_site_fract_y
_atom_site_fract_z
_atom_site_occupancy
Ta1 Ta 0.0000 0.0000 0.0000 1
Ir1 Ir 0.6667 0.3333 0.8262 1
Au1 Au 0.3333 0.6667 0.4098 1
```

[5]
Below is a relaxed structure of TcNiAs2Se, with properties calculated at the PBE level.

Summary:
Its offset from the most stable computed form is 0.0 kJ per mole of atoms. The total energy is -24.928 eV for the cell shown. The total moment comes out at 0.45 μB per atom. The value obtained for the uncorrected formation energy is 0.80 eV per atom.

The structure in CIF format:
```
data_TcNiAs2Se
_chemical_formula_sum 'Tc1 Ni1 As2 Se1'
_symmetry_space_group_name_H-M 'P 4/m m m'
_symmetry_Int_Tables_number 123
_symmetry_space_group_name_Hall '-P 4 2'
_cell_length_a 4.490
_cell_length_b 4.490
_cell_length_c 4.796
_cell_angle_alpha 90.00
_cell_angle_beta 90.00
_cell_angle_gamma 90.00
loop_
_atom_site_label
_atom_site_type_symbol
_atom_site_fract_x
_atom_site_fract_y
_atom_site_fract_z
_atom_site_occupancy
Tc1 Tc 0.000 0.000 0.000 1
Ni1 Ni 0.500 0.500 0.500 1
As1 As 0.000 0.500 0.500 1
Se1 Se 0.500 0.500 0.000 1
```

[6]
Below is a relaxed structure of Cs3RbAu, with properties calculated at the PBE level.

Summary:
Its offset from the most stable computed form is 50.6 kJ per mole of atoms. The total energy is -4.920 eV for the cell shown. The total moment comes out at 0.00 μB per atom.

The structure in CIF format:
```
data_Cs3RbAu
_chemical_formula_sum 'Cs3 Rb1 Au1'
_symmetry_space_group_name_H-M 'P m -3 m'
_symmetry_Int_Tables_number 221
_symmetry_space_group_name_Hall '-P 4 2 3'
_cell_length_a 8.450
_cell_length_b 8.450
_cell_length_c 8.450
_cell_angle_alpha 90.00
_cell_angle_beta 90.00
_cell_angle_gamma 90.00
loop_
_atom_site_label
_atom_site_type_symbol
_atom_site_fract_x
_atom_site_fract_y
_atom_site_fract_z
_atom_site_occupancy
Cs1 Cs 0.000 0.000 0.500 1
Rb1 Rb 0.000 0.000 0.000 1
Au1 Au 0.500 0.500 0.500 1
```

[7]
Below is a relaxed structure of CaCdO2, with properties calculated at the PBE level.

Summary:
The total energy is -20.861 eV for the cell shown. The total moment comes out at 0.00 μB per atom. The value obtained for the uncorrected formation energy is -2.01 eV per atom.

The structure in CIF format:
```
data_CaCdO2
_chemical_formula_sum 'Ca1 Cd1 O2'
_symmetry_space_group_name_H-M 'P 4/m m m'
_symmetry_Int_Tables_number 123
_symmetry_space_group_name_Hall '-P 4 2'
_cell_length_a 3.400
_cell_length_b 3.400
_cell_length_c 4.803
_cell_angle_alpha 90.00
_cell_angle_beta 90.00
_cell_angle_gamma 90.00
loop_
_atom_site_label
_atom_site_type_symbol
_atom_site_fract_x
_atom_site_fract_y
_atom_site_fract_z
_atom_site_occupancy
Ca1 Ca 0.000 0.000 0.000 1
Cd1 Cd 0.500 0.500 0.500 1
O1 O 0.000 0.000 0.500 1
O2 O 0.500 0.500 0.000 1
```

[8]
Below is a relaxed structure of ScCuHg, with properties calculated at the PBE level.

Summary:
Its offset from the most stable computed form is 5.1 kJ per mole of atoms. The total energy is -22.813 eV for the cell shown. The total moment comes out at 0.00 μB per atom.

The structure in CIF format:
```
data_ScCuHg
_chemical_formula_sum 'Sc2 Cu2 Hg2'
_symmetry_space_group_name_H-M 'I m m 2'
_symmetry_Int_Tables_number 44
_cell_length_a 3.519
_cell_length_b 3.534
_cell_length_c 8.929
_cell_angle_alpha 90.00
_cell_angle_beta 90.00
_cell_angle_gamma 90.00
loop_
_symmetry_equiv_pos_as_xyz
'x,y,z'
'-x,-y,z'
'-x,y,z'
'x,-y,z'
'x+1/2,y+1/2,z+1/2'
'-x+1/2,-y+1/2,z+1/2'
'-x+1/2,y+1/2,z+1/2'
'x+1/2,-y+1/2,z+1/2'
loop_
_atom_site_label
_atom_site_type_symbol
_atom_site_fract_x
_atom_site_fract_y
_atom_site_fract_z
_atom_site_occupancy
Sc1 Sc 0.000 0.000 0.000 1
Cu1 Cu 0.000 0.000 0.660 1
Hg1 Hg 0.000 0.000 0.321 1
```